# RbVO2F | Alexandria via LeMat-Bulk | PBE+U | relaxed
# ρ = 4.751 g/cm3
# Calculated volume = 13.10 Å³/atom
# Uncorrected energy = -6.113 eV/atom
# DOS(E_F) = 0.054 states/eV per atom
data_RbVO2F
_chemical_formula_sum 'Rb1 V1 O2 F1'
_cell_length_a 3.864
_cell_length_b 3.864
_cell_length_c 4.387
_cell_angle_alpha 90.00
_cell_angle_beta 90.00
_cell_angle_gamma 90.00
_space_group_name_H-M_alt 'P 1'
_space_group_IT_number 1
_space_group_name_Hall 'P 1'
loop_
_atom_site_label
_atom_site_type_symbol
_atom_site_fract_x
_atom_site_fract_y
_atom_site_fract_z
Rb1 Rb 0.000 0.000 0.000
V1 V 0.500 0.500 0.500
O1 O 0.000 0.500 0.500
O2 O 0.500 0.000 0.500
F1 F 0.500 0.500 0.000